(1)
Compound: NbGaFe3
Source: Alexandria via LeMat-Bulk
Functional: meta-GGA SCAN
Structure: PBEsol geometry

Lattice parameters (Å, degrees): 4.4477 4.4477 4.4477 90.00 90.00 90.00
Site moments in Bohr magnetons follow the coordinates.
Fractional coordinates of all 5 atoms:
Nb (0.0000, 0.0000, 0.0000)  -1.09
Fe (0.0000, 0.5000, 0.0000)  2.27
Fe (0.0000, 0.0000, 0.5000)  2.27
Fe (0.5000, 0.0000, 0.0000)  2.27
Ga (0.5000, 0.5000, 0.5000)  0.00

Values from the calculation:
For the energy of formation from the pure elements, the calculation gives 1.62 eV per atom. The size of the total moment comes out at 5.62 Bohr magnetons per cell. Its volume is 88.0 Å³ per cell. As for the crystal system: cubic. The total energy comes out at -1.40740 Ry/atom.

=====

(2)
Compound: NbGa3Fe
Source: Alexandria via LeMat-Bulk
Functional: meta-GGA SCAN
Structure: PBEsol geometry

Lattice parameters (Å, degrees): 4.3759 4.3759 4.3759 90.00 90.00 90.00
Site moments in Bohr magnetons follow the coordinates.
Fractional coordinates of all 5 atoms:
Nb (0.5000, 0.5000, 0.5000)  1.78
Fe (0.0000, 0.0000, 0.0000)  1.30
Ga (0.0000, 0.5000, 0.0000)  -0.09
Ga (0.0000, 0.0000, 0.5000)  -0.09
Ga (0.5000, 0.0000, 0.0000)  -0.09

Values from the calculation:
The polymorph energy (0 for the lowest one) is 0.0 kJ/mol of atoms. For the energy of formation from the pure elements, the calculation gives 0.42 eV per atom. The size of the total moment comes out at 3.21 Bohr magnetons per cell. Its volume is 83.8 Å³ per cell. As for the crystal system: cubic. The total energy comes out at -1.44327 Ry/atom.

=====

(3)
Compound: Nd3GaFeS7
Source: Alexandria via LeMat-Bulk
Functional: meta-GGA SCAN
Structure: PBEsol geometry

Lattice parameters (Å, degrees): 6.0983 9.7747 9.7747 120.00 90.00 90.00
Site moments in Bohr magnetons follow the coordinates.
Fractional coordinates of all 24 atoms:
Nd (0.4799, 0.2198, 0.3758)  0.01
Nd (0.4799, 0.1561, 0.7802)  0.01
Nd (0.4799, 0.6242, 0.8439)  0.01
Nd (0.9799, 0.7802, 0.6242)  0.01
Nd (0.9799, 0.8439, 0.2198)  0.01
Nd (0.9799, 0.3758, 0.1561)  0.01
Ga (0.5583, 0.6667, 0.3333)  0.00
Ga (0.0583, 0.3333, 0.6667)  0.00
Fe (0.1662, 0.0000, 0.0000)  3.45
Fe (0.6662, 0.0000, 0.0000)  3.45
S (0.2048, 0.0879, 0.5212)  0.01
S (0.2048, 0.4333, 0.9121)  0.01
S (0.2048, 0.4788, 0.5667)  0.01
S (0.7048, 0.9121, 0.4788)  0.01
S (0.7048, 0.5667, 0.0879)  0.01
S (0.7048, 0.5212, 0.4333)  0.01
S (0.1922, 0.6667, 0.3333)  0.00
S (0.6922, 0.3333, 0.6667)  0.00
S (0.4053, 0.2323, 0.0984)  0.10
S (0.4053, 0.8660, 0.7677)  0.10
S (0.4053, 0.9016, 0.1340)  0.10
S (0.9053, 0.7677, 0.9016)  0.10
S (0.9053, 0.1340, 0.2323)  0.10
S (0.9053, 0.0984, 0.8660)  0.10

Values from the calculation:
The size of the total moment comes out at 8.00 Bohr magnetons per cell. Its volume is 504.6 Å³ per cell. As for the crystal system: hexagonal. The uncorrected formation energy comes out at -1736 meV/atom. The total energy comes out at -1.55237 Ry/atom.

=====

(4)
Compound: GaFeNi2
Source: Alexandria via LeMat-Bulk
Functional: meta-GGA SCAN
Structure: PBEsol geometry

Lattice parameters (Å, degrees): 3.5404 3.5661 3.5661 90.00 90.00 90.00
Site moments in Bohr magnetons follow the coordinates.
Fractional coordinates of all 4 atoms:
Ni (0.5000, 0.0000, 0.5000)  0.54
Ni (0.5000, 0.5000, 0.0000)  0.54
Fe (0.0000, 0.0000, 0.0000)  2.86
Ga (0.0000, 0.5000, 0.5000)  -0.09

Values from the calculation:
For the energy of formation from the pure elements, the calculation gives -0.24 eV per atom. The size of the total moment comes out at 3.66 Bohr magnetons per cell. Its volume is 45.0 Å³ per cell. As for the crystal system: tetragonal. The total energy comes out at -1.24564 Ry/atom.

=====

(5)
Compound: GaFe2O4
Source: Alexandria via LeMat-Bulk
Functional: meta-GGA SCAN
Structure: PBEsol geometry

Lattice parameters (Å, degrees): 5.6987 5.8178 5.8405 120.13 90.00 119.33
Site moments in Bohr magnetons follow the coordinates.
Fractional coordinates of all 14 atoms:
Ga (0.5000, 0.0000, 0.0000)  0.03
Ga (0.5000, 0.0000, 0.5000)  0.03
Fe (0.5000, 0.5000, 0.0000)  0.52
Fe (0.0000, 0.5000, 0.0000)  0.52
Fe (0.1273, 0.2545, 0.3773)  3.85
Fe (0.8727, 0.7455, 0.6227)  3.85
O (0.7393, 0.4786, 0.7623)  0.12
O (0.7393, 0.4786, 0.2163)  0.12
O (0.7497, 0.0317, 0.7659)  0.11
O (0.2820, 0.0317, 0.7659)  0.11
O (0.2607, 0.5214, 0.2377)  0.12
O (0.2607, 0.5214, 0.7837)  0.12
O (0.2503, 0.9683, 0.2341)  0.11
O (0.7180, 0.9683, 0.2341)  0.11

Values from the calculation:
The size of the total moment comes out at 10.00 Bohr magnetons per cell. Its volume is 138.0 Å³ per cell. As for the crystal system: orthorhombic. The uncorrected formation energy comes out at -1701 meV/atom. The total energy comes out at -0.93907 Ry/atom.

=====

(6)
Compound: GaFe2PtO
Source: Alexandria via LeMat-Bulk
Functional: meta-GGA SCAN
Structure: PBEsol geometry

Lattice parameters (Å, degrees): 3.6968 3.6968 4.4918 90.00 90.00 90.00
Site moments in Bohr magnetons follow the coordinates.
Fractional coordinates of all 5 atoms:
O (0.0000, 0.0000, 0.0000)  0.11
Ga (0.0000, 0.0000, 0.5000)  -0.02
Pt (0.5000, 0.5000, 0.5000)  0.12
Fe (0.0000, 0.5000, 0.0000)  2.96
Fe (0.5000, 0.0000, 0.0000)  2.96

Values from the calculation:
The size of the total moment comes out at 5.92 Bohr magnetons per cell. Its volume is 61.4 Å³ per cell. As for the crystal system: tetragonal. The uncorrected formation energy comes out at -504 meV/atom. The total energy comes out at -1.93373 Ry/atom.

=====

(7)
Compound: GaFe3P
Source: Alexandria via LeMat-Bulk
Functional: meta-GGA SCAN
Structure: PBEsol geometry

Lattice parameters (Å, degrees): 4.3121 4.3121 4.3121 90.00 90.00 90.00
Site moments in Bohr magnetons follow the coordinates.
Fractional coordinates of all 5 atoms:
P (0.5000, 0.5000, 0.5000)  0.02
Fe (0.0000, 0.5000, 0.0000)  2.74
Fe (0.0000, 0.0000, 0.5000)  2.74
Fe (0.5000, 0.0000, 0.0000)  2.74
Ga (0.0000, 0.0000, 0.0000)  -0.21

Values from the calculation:
For the energy of formation from the pure elements, the calculation gives 1.16 eV per atom. The size of the total moment comes out at 7.96 Bohr magnetons per cell. Its volume is 80.2 Å³ per cell. As for the crystal system: cubic. The total energy comes out at -1.10769 Ry/atom.

=====

(8)
Compound: GaFeRe2P
Source: Alexandria via LeMat-Bulk
Functional: meta-GGA SCAN
Structure: PBEsol geometry

Lattice parameters (Å, degrees): 4.2914 4.5605 4.5605 90.00 90.00 90.00
Site moments in Bohr magnetons follow the coordinates.
Fractional coordinates of all 5 atoms:
Re (0.0000, 0.0000, 0.5000)  -0.25
Re (0.0000, 0.5000, 0.0000)  -0.25
Fe (0.5000, 0.5000, 0.5000)  -3.54
Ga (0.0000, 0.0000, 0.0000)  -0.03
P (0.5000, 0.0000, 0.0000)  0.02

Values from the calculation:
For the energy of formation from the pure elements, the calculation gives 2.13 eV per atom. The size of the total moment comes out at 4.19 Bohr magnetons per cell. Its volume is 89.3 Å³ per cell. As for the crystal system: tetragonal. The total energy comes out at -2.59303 Ry/atom.